Y2HfBi2: relaxed, PBE.

a b c (Å): 8.080 8.080 4.254
angles (deg): 90.00 90.00 90.00
Positions (direct):
Y 0.159 0.341 0.000
Y 0.341 0.841 0.000
Y 0.659 0.159 0.000
Y 0.841 0.659 0.000
Hf 0.000 0.000 0.500
Hf 0.500 0.500 0.500
Bi 0.148 0.648 0.500
Bi 0.352 0.148 0.500
Bi 0.648 0.852 0.500
Bi 0.852 0.352 0.500

Output
The value obtained for the total energy is -0.4841 Ry per atom. The calculated formation energy comes out at -0.46 eV/atom. The calculation puts the density of states at the Fermi level at 6.82 states/eV/f.u.

HfZnBi2: relaxed, PBE.

a b c (Å): 3.321 3.321 35.456
angles (deg): 90.00 90.00 120.00
Positions (direct):
Hf 0.000 0.000 0.000
Hf 0.333 0.667 0.667
Hf 0.667 0.333 0.333
Zn 0.000 0.000 0.500
Zn 0.333 0.667 0.167
Zn 0.667 0.333 0.833
Bi 0.000 0.000 0.406
Bi 0.000 0.000 0.594
Bi 0.333 0.667 0.072
Bi 0.333 0.667 0.261
Bi 0.667 0.333 0.739
Bi 0.667 0.333 0.928

Output
The value obtained for the total energy is -0.3400 Ry per atom. The calculated formation energy comes out at 0.12 eV/atom. The calculation puts the density of states at the Fermi level at 1.43 states/eV/f.u.

Q: What is the formula in the first record?
A: Y2HfBi2